The following is a DFT calculation (PBE) of an optimized crystal structure of YHfPb2.

Summary:
Electronic total energy ... -6.11 eV/atom
Theoretical density ... 11.03 g/cm³
ΔE to the lowest computed polymorph ... 0.000 eV per atom
Total magnetization ... 0.49 μB per cell

Cell lengths 3.402, 3.402, 8.867 Å; angles 90.00, 90.00, 90.00 degrees
Site moments in Bohr magnetons follow the coordinates.
Sites, in units of the cell vectors:
1 Hf 0.500 0.500 0.000  0.03
2 Y 0.500 0.500 0.500  0.26
3 Pb 0.000 0.000 0.762  -0.01
4 Pb 0.000 0.000 0.238  -0.01